# TaCr2Ir, relaxed, DFT GGA-PBE
data_TaCr2Ir
_symmetry_space_group_name_H-M 'F m -3 m'
_symmetry_Int_Tables_number 225
_symmetry_space_group_name_Hall '-F 4 2 3'
_cell_length_a 6.090
_cell_length_b 6.090
_cell_length_c 6.090
_cell_angle_alpha 90.00
_cell_angle_beta 90.00
_cell_angle_gamma 90.00
loop_
_atom_site_label
_atom_site_fract_x
_atom_site_fract_y
_atom_site_fract_z
_atom_site_occupancy
Ta1 0.000 0.000 0.000 1
Cr1 0.250 0.250 0.250 1
Ir1 0.000 0.000 0.500 1
# Energy above the lowest structure with this stoichiometry (meV/atom): 133.1
# Total moment (μB per cell): 8.256


# TaVCr2Ir, relaxed, DFT GGA-PBE
data_TaVCr2Ir
_symmetry_space_group_name_H-M 'P 4/m m m'
_symmetry_Int_Tables_number 123
_symmetry_space_group_name_Hall '-P 4 2'
_cell_length_a 4.555
_cell_length_b 4.555
_cell_length_c 4.908
_cell_angle_alpha 90.00
_cell_angle_beta 90.00
_cell_angle_gamma 90.00
loop_
_atom_site_label
_atom_site_fract_x
_atom_site_fract_y
_atom_site_fract_z
_atom_site_occupancy
Ta1 0.000 0.000 0.000 1
V1 0.500 0.500 0.000 1
Cr1 0.000 0.500 0.500 1
Ir1 0.000 0.000 0.500 1
# Total moment (μB per cell): 5.050


Computed values of VASP energy (unit: eV/atom) for the preceding records, in sequence: -9.98 -8.35.